The following is a DFT calculation (PBE) of a relaxed structure of MgZn2Pt2.

Unit cell a=4.029 b=4.819 c=9.909 alpha=61.03 beta=78.27 gamma=65.29
Sites, in units of the cell vectors:
Zn 0.556 0.024 0.364
Zn 0.944 0.476 0.136
Zn 0.056 0.524 0.864
Zn 0.444 0.976 0.636
Mg 0.750 0.250 0.750
Mg 0.250 0.750 0.250
Pt 0.855 0.360 0.431
Pt 0.645 0.140 0.069
Pt 0.145 0.640 0.569
Pt 0.355 0.860 0.931

Summary:
Formation energy in eV per formula unit: -2.8
DFT total energy in eV/atom: -3.8134
Distance to the lowest polymorph of the same formula in meV/atom: 30.2

The following is a DFT calculation (PBE) of a relaxed structure of Ce2AlGa5.

Unit cell a=6.127 b=6.127 c=6.127 alpha=90.52 beta=119.70 gamma=119.70
Sites, in units of the cell vectors:
Ga 0.000 0.278 0.778
Ga 0.000 0.278 0.278
Ga 0.000 0.778 0.278
Ga 0.500 0.778 0.778
Ga 0.500 0.278 0.278
Ce 0.500 0.278 0.778
Ce 0.500 0.778 0.278
Al 0.000 0.778 0.778

Summary:
Formation energy in eV per formula unit: -3.8
DFT total energy in eV/atom: -4.3193

The following is a DFT calculation (PBE) of a relaxed structure of Cu2SbOs.

Unit cell a=2.880 b=2.880 c=7.886 alpha=90.00 beta=90.00 gamma=90.00
Sites, in units of the cell vectors:
Cu 0.000 0.000 0.038
Cu 0.000 0.000 0.462
Sb 0.500 0.500 0.750
Os 0.500 0.500 0.250

Summary:
Formation energy (no corrections) in eV per atom: 0.594
DFT total energy in eV/atom: -5.2922